1.
CaSi2Rh2 after structural relaxation, computed with PBE.

```
CaSi2Rh2
1.0
4.111 0.000 0.000
0.000 4.111 0.000
0.000 0.000 9.991
Ca Si Rh
2 4 4
direct
0.000 0.000 0.000
0.500 0.500 0.500
0.000 0.000 0.374
0.000 0.000 0.626
0.500 0.500 0.126
0.500 0.500 0.874
0.000 0.500 0.250
0.000 0.500 0.750
0.500 0.000 0.250
0.500 0.000 0.750
```

Computed properties:
V, Å³/atom: 16.9
Space-group type: No. 139
N(E_F), states/eV per cell: 3.60
ΔE_f (raw), eV per atom: -0.98
Size of the total moment, μB per atom: 0.000



2.
CaSiRh after structural relaxation, computed with PBE.

```
CaSiRh
1.0
3.207 0.000 0.000
0.000 3.207 0.000
0.000 0.000 10.709
Ca Si Rh
2 2 2
direct
0.000 0.000 0.000
0.500 0.500 0.500
0.000 0.000 0.296
0.500 0.500 0.796
0.000 0.000 0.705
0.500 0.500 0.205
```

Computed properties:
V, Å³/atom: 18.4
Space-group type: No. 107
N(E_F), states/eV per cell: 3.70
ΔE_f (raw), eV per atom: -0.63
Size of the total moment, μB per atom: 0.000



3.
CaSi3Rh4 after structural relaxation, computed with PBE.

```
CaSi3Rh4
1.0
4.053 0.000 0.000
0.000 4.053 0.000
0.000 0.000 7.812
Ca Si Rh
1 3 4
direct
0.000 0.000 0.000
0.000 0.000 0.500
0.500 0.500 0.162
0.500 0.500 0.838
0.000 0.500 0.318
0.000 0.500 0.682
0.500 0.000 0.318
0.500 0.000 0.682
```

Computed properties:
V, Å³/atom: 16.0
Space-group type: No. 123
N(E_F), states/eV per cell: 3.80
ΔE_f (raw), eV per atom: -0.89
Size of the total moment, μB per atom: 0.000



4.
Ca2Si4Rh3 after structural relaxation, computed with PBE.

```
Ca2Si4Rh3
1.0
0.000 4.882 5.872
2.778 0.000 5.872
2.778 4.882 0.000
Ca Si Rh
2 4 3
direct
0.135 0.135 0.865
0.865 0.865 0.135
0.157 0.530 0.470
0.470 0.843 0.157
0.530 0.157 0.843
0.843 0.470 0.530
0.000 0.000 0.500
0.500 0.500 0.000
0.500 0.500 0.500
```

Computed properties:
V, Å³/atom: 17.7
Space-group type: No. 69
N(E_F), states/eV per cell: 3.07
ΔE_f (raw), eV per atom: -0.63
Size of the total moment, μB per atom: 0.000



5.
CaSi3Rh after structural relaxation, computed with PBE.

```
CaSi3Rh
1.0
4.976 0.000 0.000
0.000 4.976 0.000
0.000 0.000 4.976
Ca Si Rh
1 3 1
direct
0.000 0.000 0.000
0.000 0.000 0.500
0.000 0.500 0.000
0.500 0.000 0.000
0.500 0.500 0.500
```

Computed properties:
V, Å³/atom: 24.6
Space-group type: No. 221
N(E_F), states/eV per cell: 3.58
ΔE_f (raw), eV per atom: 1.88
Size of the total moment, μB per atom: 0.000



6.
Ca2SiRh after structural relaxation, computed with PBE.

```
Ca2SiRh
1.0
7.106 0.000 0.000
0.000 4.100 0.000
-2.315 0.000 7.620
Ca Si Rh
4 2 2
direct
0.000 0.000 0.000
0.171 0.000 0.525
0.500 0.500 0.000
0.671 0.500 0.525
0.418 0.000 0.262
0.918 0.500 0.262
0.252 0.500 0.263
0.752 0.000 0.263
```

Computed properties:
V, Å³/atom: 27.8
Space-group type: No. 8
N(E_F), states/eV per cell: 5.43
ΔE_f (raw), eV per atom: -0.61
Size of the total moment, μB per atom: 0.000



Question: What is the N(E_F) in the third record?
Answer: 3.80 states/eV per cell